Below is a geometry-optimized KYCr2 structure, with properties calculated at the PBE-GGA level.

Geometry as CIF:
```
data_KYCr2
_chemical_formula_sum 'K1 Y1 Cr2'
_symmetry_space_group_name_H-M 'P 1'
_symmetry_Int_Tables_number 1
_symmetry_space_group_name_Hall 'P 1'
_cell_length_a 3.2714
_cell_length_b 3.2726
_cell_length_c 10.1472
_cell_angle_alpha 71.43
_cell_angle_beta 90.00
_cell_angle_gamma 90.00
loop_
_atom_site_label
_atom_site_type_symbol
_atom_site_fract_x
_atom_site_fract_y
_atom_site_fract_z
K1 K 0.0000 0.5552 0.4518
Cr1 Cr 0.5000 0.3454 0.1540
Cr2 Cr 0.0000 0.9430 0.0549
Y1 Y 0.5000 0.6563 0.8394
```

Properties
Electronic total energy (eV per atom): -6.097
ΔE_f (kJ/mol of atoms): 58.4
Energy above the most stable polymorph in this dataset (meV/atom): 0